# MnAgB2F8 (PBE with a Hubbard U, relaxed)
data_MnAgB2F8
_chemical_formula_sum 'Mn1 Ag1 B2 F8'
_space_group_name_H-M_alt 'P -3 m 1'
_space_group_IT_number 164
_space_group_name_Hall '-P 3 2"'
_cell_length_a 5.4885
_cell_length_b 5.4885
_cell_length_c 7.6981
_cell_angle_alpha 90.00
_cell_angle_beta 90.00
_cell_angle_gamma 120.00
loop_
_atom_site_label
_atom_site_fract_x
_atom_site_fract_y
_atom_site_fract_z
Mn1 0.0000 0.0000 0.0000
Ag1 0.0000 0.0000 0.5000
B1 0.3333 0.6667 0.7832
F1 0.1927 0.3854 0.8529
F2 0.3333 0.6667 0.6068
# **Magnetization**: 4.6 μB/f.u.
# **Raw total energy**: -5.58 eV/atom